1.
LiAcPd2Pb2: relaxed, PBE.

Properties
The value obtained for the density of states at the Fermi level is 7.0 states/eV/cell. The calculation puts the magnetic moment at 0.00 Bohr magnetons per cell. Its total energy is -4.208 eV/atom.

CIF file:
```
data_LiAcPd2Pb2
_space_group_name_H-M_alt 'P 1'
_space_group_IT_number 1
_space_group_name_Hall 'P 1'
_cell_length_a 5.574
_cell_length_b 5.574
_cell_length_c 10.651
_cell_angle_alpha 90.00
_cell_angle_beta 90.00
_cell_angle_gamma 90.00
loop_
_atom_site_label
_atom_site_fract_x
_atom_site_fract_y
_atom_site_fract_z
Li1 0.000 0.000 0.000
Li2 0.500 0.500 0.500
Ac1 0.000 0.000 0.500
Ac2 0.500 0.500 0.000
Pd1 0.000 0.000 0.223
Pd2 0.000 0.000 0.777
Pd3 0.500 0.500 0.277
Pd4 0.500 0.500 0.723
Pb1 0.000 0.500 0.250
Pb2 0.000 0.500 0.750
Pb3 0.500 0.000 0.250
Pb4 0.500 0.000 0.750
```

=====

2.
CaBe2Au: relaxed, PBE.

Properties
The value obtained for the density of states at the Fermi level is 2.2 states/eV/cell. The calculation puts the magnetic moment at 0.00 Bohr magnetons per cell. Its total energy is -3.117 eV/atom.

CIF file:
```
data_CaBe2Au
_space_group_name_H-M_alt 'P 1'
_space_group_IT_number 1
_space_group_name_Hall 'P 1'
_cell_length_a 3.025
_cell_length_b 3.074
_cell_length_c 6.925
_cell_angle_alpha 90.00
_cell_angle_beta 90.00
_cell_angle_gamma 90.00
loop_
_atom_site_label
_atom_site_fract_x
_atom_site_fract_y
_atom_site_fract_z
Ca1 0.000 0.000 0.000
Be1 0.000 0.000 0.473
Be2 0.500 0.500 0.313
Au1 0.500 0.500 0.664
```

=====

3.
RbCr3Mo: relaxed, PBE.

Properties
The value obtained for the density of states at the Fermi level is 4.0 states/eV/cell. The calculation puts the magnetic moment at 9.28 Bohr magnetons per cell. Its total energy is -6.731 eV/atom.

CIF file:
```
data_RbCr3Mo
_space_group_name_H-M_alt 'P 1'
_space_group_IT_number 1
_space_group_name_Hall 'P 1'
_cell_length_a 4.966
_cell_length_b 4.966
_cell_length_c 4.966
_cell_angle_alpha 90.00
_cell_angle_beta 90.00
_cell_angle_gamma 90.00
loop_
_atom_site_label
_atom_site_fract_x
_atom_site_fract_y
_atom_site_fract_z
Rb1 0.000 0.000 0.000
Cr1 0.000 0.500 0.500
Cr2 0.500 0.000 0.500
Cr3 0.500 0.500 0.000
Mo1 0.500 0.500 0.500
```